CaZnO2F | PBE | optimized geometry

Unit cell a=3.8701 b=3.8701 c=4.1112 alpha=90.00 beta=90.00 gamma=90.00
Space group P4/mmm (No. 123)
Symmetry-distinct sites (fractional):
Ca 0.0000 0.0000 0.0000 x1
Zn 0.5000 0.5000 0.5000 x1
O 0.0000 0.5000 0.5000 x2
F 0.5000 0.5000 0.0000 x1

Output
Raw formation energy = -1.962 eV per atom


KTeBr6 | PBE | optimized geometry

Unit cell a=7.4315 b=7.4315 c=20.4652 alpha=90.00 beta=90.00 gamma=120.00
Space group R-3m (No. 166, hexagonal axes)
Symmetry-distinct sites (fractional):
K 0.0000 0.0000 0.0000 x3
Te 0.0000 0.0000 0.5000 x3
Br 0.0034 0.5017 0.9083 x18

Output
Raw formation energy = -0.556 eV per atom


NiOs | PBE | optimized geometry

Unit cell a=3.8190 b=3.8190 c=4.4661 alpha=90.00 beta=90.00 gamma=120.00
Space group P6_3/mmc (No. 194)
Symmetry-distinct sites (fractional):
Ni 0.0000 0.0000 0.0000 x2
Os 0.3333 0.6667 0.2500 x2

Output
Energy relative to the elements = 1.02 eV/atom


Zr2SbRh2 | PBE | optimized geometry

Unit cell a=7.8981 b=7.8981 c=3.1942 alpha=90.00 beta=90.00 gamma=90.00
Space group P4/mbm (No. 127)
Symmetry-distinct sites (fractional):
Zr 0.1573 0.3427 0.0000 x4
Sb 0.0000 0.0000 0.0000 x2
Rh 0.1315 0.6315 0.5000 x4

Output
ΔE to the lowest computed polymorph = 243 meV per atom
Raw formation energy = -0.491 eV per atom


Ordered total moment results: 0.10, 0.00, 0.13, 0.00; unit μB per atom.